## Nb2HgW (PBE-GGA)

Data for a relaxed Nb2HgW crystal.

Cell and atoms, written as extended XYZ:
```
8
Lattice="-3.7483 3.7483 2.8285 3.7483 -3.7483 2.8285 3.7483 3.7483 -2.8285" Properties=species:S:1:pos:R:3 pbc="T T T"
Nb 5.6224 1.6666 -0.7071
Nb 1.6666 1.8741 0.7071
Nb -1.8741 2.0817 2.1214
Nb 2.0817 1.8741 3.5356
Hg 3.7483 0.0000 1.4143
Hg 0.0000 0.0000 2.8285
W 0.0000 0.0000 0.0000
W 0.0000 3.7483 1.4143
```

Results
ΔE_f = 315 kJ/mol of formula units
Crystal system = tetragonal